Record 1
Rb2NaBiBr6 PBE relaxed; energy relative to the elements, uncorrected = -1.310 eV/atom; crystal system = cubic
1.0
0.0000 5.7742 5.7742
5.7742 0.0000 5.7742
5.7742 5.7742 0.0000
Rb Na Bi Br
2 1 1 6
Cartesian
2.8871 2.8871 2.8871 Rb
8.6613 8.6613 8.6613 Rb
0.0000 0.0000 0.0000 Na
5.7742 5.7742 5.7742 Bi
5.7742 5.7742 2.9159 Br
5.7742 2.9159 5.7742 Br
8.6326 5.7742 5.7742 Br
2.9159 5.7742 5.7742 Br
5.7742 8.6326 5.7742 Br
5.7742 5.7742 8.6326 Br

---

Record 2
PmPaNi2 PBE relaxed; crystal system = cubic; energy relative to the lowest polymorph listed for this composition = 0.1634 eV/atom; DFT formation energy = -0.12 eV/atom
1.0
6.8063 0.0000 0.0000
0.0000 6.8063 0.0000
0.0000 0.0000 6.8063
Pm Pa Ni
4 4 8
Cartesian
0.0000 0.0000 0.0000 Pm
0.0000 3.4032 3.4032 Pm
3.4032 0.0000 3.4032 Pm
3.4032 3.4032 0.0000 Pm
0.0000 0.0000 3.4032 Pa
0.0000 3.4032 0.0000 Pa
3.4032 0.0000 0.0000 Pa
3.4032 3.4032 3.4032 Pa
1.7016 1.7016 1.7016 Ni
1.7016 1.7016 5.1047 Ni
1.7016 5.1047 1.7016 Ni
1.7016 5.1047 5.1047 Ni
5.1047 1.7016 1.7016 Ni
5.1047 1.7016 5.1047 Ni
5.1047 5.1047 1.7016 Ni
5.1047 5.1047 5.1047 Ni